# MgUNiOs

A relaxed MgUNiOs crystal (PBE-GGA, Alexandria via LeMat-Bulk).

Summary:
Crystal system ... cubic
Energy of formation from the pure elements ... -0.25 kcal/mol of atoms

Structure (CIF):
```
data_MgUNiOs
_chemical_formula_sum 'Mg4 U4 Ni4 Os4'
_cell_length_a 6.501
_cell_length_b 6.501
_cell_length_c 6.501
_cell_angle_alpha 90.00
_cell_angle_beta 90.00
_cell_angle_gamma 90.00
_space_group_name_H-M_alt 'F -4 3 m'
_space_group_IT_number 216
_space_group_name_Hall 'F -4 2 3'
loop_
_atom_site_label
_atom_site_fract_x
_atom_site_fract_y
_atom_site_fract_z
_atom_site_occupancy
Mg1 0.000 0.000 0.000 1
U1 0.000 0.000 0.500 1
Ni1 0.250 0.250 0.750 1
Os1 0.250 0.250 0.250 1
```

# MgVNiOs

A relaxed MgVNiOs crystal (PBE-GGA, Alexandria via LeMat-Bulk).

Summary:
Crystal system ... cubic
Energy of formation from the pure elements ... -1.49 kcal/mol of atoms

Structure (CIF):
```
data_MgVNiOs
_chemical_formula_sum 'Mg4 V4 Ni4 Os4'
_cell_length_a 6.023
_cell_length_b 6.023
_cell_length_c 6.023
_cell_angle_alpha 90.00
_cell_angle_beta 90.00
_cell_angle_gamma 90.00
_space_group_name_H-M_alt 'F -4 3 m'
_space_group_IT_number 216
_space_group_name_Hall 'F -4 2 3'
loop_
_atom_site_label
_atom_site_fract_x
_atom_site_fract_y
_atom_site_fract_z
_atom_site_occupancy
Mg1 0.000 0.000 0.000 1
V1 0.000 0.000 0.500 1
Ni1 0.250 0.250 0.750 1
Os1 0.250 0.250 0.250 1
```

# MgNiOsW

A relaxed MgNiOsW crystal (PBE-GGA, Alexandria via LeMat-Bulk).

Summary:
Crystal system ... cubic
Energy of formation from the pure elements ... 1.20 kcal/mol of atoms

Structure (CIF):
```
data_MgNiOsW
_chemical_formula_sum 'Mg4 Ni4 Os4 W4'
_cell_length_a 6.140
_cell_length_b 6.140
_cell_length_c 6.140
_cell_angle_alpha 90.00
_cell_angle_beta 90.00
_cell_angle_gamma 90.00
_space_group_name_H-M_alt 'F -4 3 m'
_space_group_IT_number 216
_space_group_name_Hall 'F -4 2 3'
loop_
_atom_site_label
_atom_site_fract_x
_atom_site_fract_y
_atom_site_fract_z
_atom_site_occupancy
Mg1 0.000 0.000 0.000 1
Ni1 0.250 0.250 0.250 1
Os1 0.250 0.250 0.750 1
W1 0.000 0.000 0.500 1
```

# YMgNi2Os

A relaxed YMgNi2Os crystal (PBE-GGA, Alexandria via LeMat-Bulk).

Summary:
Crystal system ... tetragonal
Energy of formation from the pure elements ... 16.64 kcal/mol of atoms

Structure (CIF):
```
data_YMgNi2Os
_chemical_formula_sum 'Y1 Mg1 Ni2 Os1'
_cell_length_a 4.372
_cell_length_b 4.372
_cell_length_c 4.705
_cell_angle_alpha 90.00
_cell_angle_beta 90.00
_cell_angle_gamma 90.00
_space_group_name_H-M_alt 'P 4/m m m'
_space_group_IT_number 123
_space_group_name_Hall '-P 4 2'
loop_
_atom_site_label
_atom_site_fract_x
_atom_site_fract_y
_atom_site_fract_z
_atom_site_occupancy
Y1 0.000 0.000 0.000 1
Mg1 0.500 0.500 0.500 1
Ni1 0.000 0.500 0.500 1
Os1 0.500 0.500 0.000 1
```

# MgNi2P

A relaxed MgNi2P crystal (PBE-GGA, Alexandria via LeMat-Bulk).

Summary:
Crystal system ... orthorhombic
Energy of formation from the pure elements ... -13.04 kcal/mol of atoms

Structure (CIF):
```
data_MgNi2P
_chemical_formula_sum 'Mg4 Ni8 P4'
_cell_length_a 6.454
_cell_length_b 6.356
_cell_length_c 5.025
_cell_angle_alpha 90.00
_cell_angle_beta 90.00
_cell_angle_gamma 90.00
_space_group_name_H-M_alt 'P n m a'
_space_group_IT_number 62
loop_
_space_group_symop_operation_xyz
'x,y,z'
'-x,-y,-z'
'-x+1/2,-y,z+1/2'
'x+1/2,y,-z+1/2'
'x+1/2,-y+1/2,-z+1/2'
'-x+1/2,y+1/2,z+1/2'
'-x,y+1/2,-z'
'x,-y+1/2,z'
loop_
_atom_site_label
_atom_site_fract_x
_atom_site_fract_y
_atom_site_fract_z
_atom_site_occupancy
Mg1 0.018 0.250 0.126 1
Ni1 0.175 0.053 0.600 1
P1 0.126 0.750 0.377 1
```

# MgNi3P

A relaxed MgNi3P crystal (PBE-GGA, Alexandria via LeMat-Bulk).

Summary:
Crystal system ... cubic
Distance to the lowest polymorph of the same formula ... 1.6048 eV/atom
Energy of formation from the pure elements ... 29.21 kcal/mol of atoms

Structure (CIF):
```
data_MgNi3P
_chemical_formula_sum 'Mg1 Ni3 P1'
_cell_length_a 4.305
_cell_length_b 4.305
_cell_length_c 4.305
_cell_angle_alpha 90.00
_cell_angle_beta 90.00
_cell_angle_gamma 90.00
_space_group_name_H-M_alt 'P m -3 m'
_space_group_IT_number 221
_space_group_name_Hall '-P 4 2 3'
loop_
_atom_site_label
_atom_site_fract_x
_atom_site_fract_y
_atom_site_fract_z
_atom_site_occupancy
Mg1 0.000 0.000 0.000 1
Ni1 0.000 0.000 0.500 1
P1 0.500 0.500 0.500 1
```

# MgNiP4

A relaxed MgNiP4 crystal (PBE-GGA, Alexandria via LeMat-Bulk).

Summary:
Crystal system ... cubic
Energy of formation from the pure elements ... 10.11 kcal/mol of atoms

Structure (CIF):
```
data_MgNiP4
_chemical_formula_sum 'Mg4 Ni4 P16'
_cell_length_a 7.109
_cell_length_b 7.109
_cell_length_c 7.109
_cell_angle_alpha 90.00
_cell_angle_beta 90.00
_cell_angle_gamma 90.00
_space_group_name_H-M_alt 'F -4 3 m'
_space_group_IT_number 216
_space_group_name_Hall 'F -4 2 3'
loop_
_atom_site_label
_atom_site_fract_x
_atom_site_fract_y
_atom_site_fract_z
_atom_site_occupancy
Mg1 0.000 0.000 0.000 1
Ni1 0.250 0.250 0.250 1
P1 0.122 0.122 0.622 1
```

# Mg2Ni12P7

A relaxed Mg2Ni12P7 crystal (PBE-GGA, Alexandria via LeMat-Bulk).

Summary:
Crystal system ... trigonal
Energy of formation from the pure elements ... -12.49 kcal/mol of atoms

Structure (CIF):
```
data_Mg2Ni12P7
_chemical_formula_sum 'Mg2 Ni12 P7'
_cell_length_a 9.1264
_cell_length_b 9.1264
_cell_length_c 3.5297
_cell_angle_alpha 90.00
_cell_angle_beta 90.00
_cell_angle_gamma 120.00
_space_group_name_H-M_alt 'P -3'
_space_group_IT_number 147
loop_
_space_group_symop_operation_xyz
'x,y,z'
'-x,-y,-z'
'-y,x-y,z'
'y,-x+y,-z'
'-x+y,-x,z'
'x-y,x,-z'
loop_
_atom_site_label
_atom_site_fract_x
_atom_site_fract_y
_atom_site_fract_z
_atom_site_occupancy
Mg1 0.3333 0.6667 0.2519 1
Ni1 0.0647 0.4409 0.7516 1
Ni2 0.1145 0.2575 0.2479 1
P1 0.0000 0.0000 0.5000 1
P2 0.1176 0.7057 0.7506 1
```

# MgNi2P

A relaxed MgNi2P crystal (PBE-GGA, Alexandria via LeMat-Bulk).

Summary:
Crystal system ... trigonal
Energy of formation from the pure elements ... -9.55 kcal/mol of atoms

Structure (CIF):
```
data_MgNi2P
_chemical_formula_sum 'Mg3 Ni6 P3'
_cell_length_a 3.7994
_cell_length_b 3.7994
_cell_length_c 13.3369
_cell_angle_alpha 90.00
_cell_angle_beta 90.00
_cell_angle_gamma 120.00
_space_group_name_H-M_alt 'R 3 m'
_space_group_IT_number 160
_space_group_name_Hall 'R 3 -2"'
loop_
_atom_site_label
_atom_site_fract_x
_atom_site_fract_y
_atom_site_fract_z
_atom_site_occupancy
Mg1 0.0000 0.0000 0.0000 1
Ni1 0.0000 0.0000 0.5523 1
Ni2 0.0000 0.0000 0.7967 1
P1 0.0000 0.0000 0.1929 1
```

# Mg2NiP

A relaxed Mg2NiP crystal (PBE-GGA, Alexandria via LeMat-Bulk).

Summary:
Crystal system ... tetragonal
Energy of formation from the pure elements ... -5.72 kcal/mol of atoms

Structure (CIF):
```
data_Mg2NiP
_chemical_formula_sum 'Mg2 Ni1 P1'
_cell_length_a 4.042
_cell_length_b 4.042
_cell_length_c 3.666
_cell_angle_alpha 90.00
_cell_angle_beta 90.00
_cell_angle_gamma 90.00
_space_group_name_H-M_alt 'P 4/m m m'
_space_group_IT_number 123
_space_group_name_Hall '-P 4 2'
loop_
_atom_site_label
_atom_site_fract_x
_atom_site_fract_y
_atom_site_fract_z
_atom_site_occupancy
Mg1 0.000 0.500 0.000 1
Ni1 0.000 0.000 0.500 1
P1 0.500 0.500 0.500 1
```

# MgNi2P2

A relaxed MgNi2P2 crystal (PBE-GGA, Alexandria via LeMat-Bulk).

Summary:
Crystal system ... tetragonal
Energy of formation from the pure elements ... -3.72 kcal/mol of atoms

Structure (CIF):
```
data_MgNi2P2
_chemical_formula_sum 'Mg2 Ni4 P4'
_cell_length_a 6.874
_cell_length_b 6.874
_cell_length_c 2.850
_cell_angle_alpha 90.00
_cell_angle_beta 90.00
_cell_angle_gamma 90.00
_space_group_name_H-M_alt 'P 4/m b m'
_space_group_IT_number 127
_space_group_name_Hall '-P 4 2ab'
loop_
_atom_site_label
_atom_site_fract_x
_atom_site_fract_y
_atom_site_fract_z
_atom_site_occupancy
Mg1 0.000 0.000 0.000 1
Ni1 0.133 0.367 0.500 1
P1 0.151 0.651 0.000 1
```

# MgNi2P

A relaxed MgNi2P crystal (PBE-GGA, Alexandria via LeMat-Bulk).

Summary:
Crystal system ... orthorhombic
Energy of formation from the pure elements ... -6.00 kcal/mol of atoms

Structure (CIF):
```
data_MgNi2P
_chemical_formula_sum 'Mg1 Ni2 P1'
_cell_length_a 2.989
_cell_length_b 3.180
_cell_length_c 5.575
_cell_angle_alpha 90.00
_cell_angle_beta 90.00
_cell_angle_gamma 90.00
_space_group_name_H-M_alt 'P m m 2'
_space_group_IT_number 25
loop_
_space_group_symop_operation_xyz
'x,y,z'
'-x,-y,z'
'-x,y,z'
'x,-y,z'
loop_
_atom_site_label
_atom_site_fract_x
_atom_site_fract_y
_atom_site_fract_z
_atom_site_occupancy
Mg1 0.000 0.000 0.000 1
Ni1 0.000 0.000 0.514 1
Ni2 0.500 0.500 0.265 1
P1 0.500 0.500 0.662 1
```